The following is a DFT calculation (PBE-GGA) of a geometry-optimized PtIBr2 structure.

Computed properties:
M_tot: 1.66 μB per formula unit
offset from the most stable computed form: 319 meV/atom
formation energy (no corrections): 0.191 eV/atom

a b c (Å): 11.316 11.316 11.316
angles (deg): 19.36 19.36 19.36
Fractional positions:
Pt (0.500, 0.500, 0.500)
Br (0.878, 0.878, 0.878)
Br (0.122, 0.122, 0.122)
I (0.000, 0.000, 0.000)